# 1
PmYCu | GGA-PBE | optimized geometry

```
PmYCu
1.0
3.5140 0.0000 0.0000
-1.7556 6.5188 0.0000
-0.0050 -1.9766 6.8153
Pm Y Cu
2 2 2
Cartesian
0.0009 1.7067 0.4904
1.7526 2.8354 6.3248
-0.0020 0.6626 3.8636
1.7555 3.8795 2.9517
-0.0061 5.9414 1.7807
1.7596 -1.3993 5.0346
```

## Properties
energy above the lowest structure with this stoichiometry	0.000	eV per atom
volume	156.1	Å³ per cell
energy of formation from the pure elements	-109.9	meV per atom


# 2
Pr8GePt3I4 | GGA-PBE | optimized geometry

```
Pr8GePt3I4
1.0
4.3488 2.5108 8.0257
-4.3488 2.5108 8.0257
0.0000 -5.0215 8.0257
Pr Ge Pt I
8 1 3 4
Cartesian
-2.2208 -1.2822 13.5748
0.0000 0.0000 5.5193
0.0000 -2.5644 10.5022
-2.2208 1.2822 10.5022
2.2208 -1.2822 13.5748
0.0000 2.5644 13.5748
0.0000 0.0000 18.5576
2.2208 1.2822 10.5022
0.0000 0.0000 12.0385
-4.3488 0.0000 12.0385
-2.1744 1.2554 4.0128
2.1744 1.2554 4.0128
0.0000 0.0000 0.0000
-2.1744 -1.2554 8.0257
-2.1744 1.2554 16.0513
0.0000 2.5108 8.0256
```

## Properties
volume	525.8	Å³ per cell


# 3
YAgP2 | GGA-PBE | optimized geometry

```
YAgP2
1.0
0.0000 3.3639 3.3639
3.3639 0.0000 3.3639
3.3639 3.3639 0.0000
Y Ag P
1 1 2
Cartesian
0.0000 0.0000 0.0000
3.3639 3.3639 3.3639
1.6820 1.6820 1.6820
5.0459 5.0459 5.0459
```

## Properties
volume	76.1	Å³ per cell
energy of formation from the pure elements	-320.7	meV per atom


For the records above, the corresponding calculated total energy values read -5.214, -5.249, -5.354 eV/atom.
For the records above, the corresponding N(E_F) values read 3.281, 11.303, 3.315 states/eV/f.u..